# SrCeSb2 (GGA-PBE, optimized geometry)
# **V**: 35.3 A^3/atom
# **Crystal system**: trigonal
# **M_tot**: 0.4 Bohr magnetons per cell
# **Mass density**: 5.55 g/cm³
# **Raw formation energy**: -3.796 eV/f.u.
# **Distance to the lowest polymorph of the same formula**: 0.061 eV/atom
# **E**: -0.36119 Ry per atom
data_SrCeSb2
_symmetry_space_group_name_H-M 'R 3 m'
_symmetry_Int_Tables_number 160
_symmetry_space_group_name_Hall 'R 3 -2"'
_cell_length_a 4.5711
_cell_length_b 4.5711
_cell_length_c 23.3956
_cell_angle_alpha 90.00
_cell_angle_beta 90.00
_cell_angle_gamma 120.00
loop_
_atom_site_label
_atom_site_fract_x
_atom_site_fract_y
_atom_site_fract_z
Sr1 0.0000 0.0000 0.0000
Ce1 0.0000 0.0000 0.8292
Sb1 0.0000 0.0000 0.2377
Sb2 0.0000 0.0000 0.4231